*P*
# K2ZrNi | Alexandria | PBE | relaxed
# - crystal system = trigonal
# - calculated density (kg/m³) = 3574
# - D(E_F) (states/eV/atom) = 0.86
# - total magnetic moment (μB/cell) = 0.00
data_K2ZrNi
_chemical_formula_sum 'K6 Zr3 Ni3'
_cell_length_a 3.1748
_cell_length_b 3.1748
_cell_length_c 36.4305
_cell_angle_alpha 90.00
_cell_angle_beta 90.00
_cell_angle_gamma 120.00
_space_group_name_H-M_alt 'R -3 m'
_space_group_IT_number 166
_space_group_name_Hall '-R 3 2"'
loop_
_atom_site_label
_atom_site_type_symbol
_atom_site_fract_x
_atom_site_fract_y
_atom_site_fract_z
K1 K 0.0000 0.0000 0.2363
Zr1 Zr 0.0000 0.0000 0.0000
Ni1 Ni 0.0000 0.0000 0.5000

*Q*
# K2ZrNi | Alexandria | PBE | relaxed
# - crystal system = monoclinic
# - calculated density (kg/m³) = 3674
# - D(E_F) (states/eV/atom) = 0.97
# - total magnetic moment (μB/cell) = 0.02
data_K2ZrNi
_chemical_formula_sum 'K4 Zr2 Ni2'
_cell_length_a 5.884
_cell_length_b 12.636
_cell_length_c 3.259
_cell_angle_alpha 90.00
_cell_angle_beta 121.67
_cell_angle_gamma 90.00
_space_group_name_H-M_alt 'C 1 2/m 1'
_space_group_IT_number 12
_space_group_name_Hall '-C 2y'
loop_
_atom_site_label
_atom_site_type_symbol
_atom_site_fract_x
_atom_site_fract_y
_atom_site_fract_z
K1 K 0.250 0.250 0.000
Zr1 Zr 0.000 0.000 0.500
Ni1 Ni 0.000 0.500 0.500

Each structure's energy above the most stable one, in meV/atom: *P* 0; *Q* 12.

*P*
# K2ZrNi | Alexandria | PBE | relaxed
# - crystal system = cubic
# - calculated density (kg/m³) = 2935
# - D(E_F) (states/eV/atom) = 3.04
# - total magnetic moment (μB/cell) = 9.16
data_K2ZrNi
_chemical_formula_sum 'K8 Zr4 Ni4'
_cell_length_a 8.022
_cell_length_b 8.022
_cell_length_c 8.022
_cell_angle_alpha 90.00
_cell_angle_beta 90.00
_cell_angle_gamma 90.00
_space_group_name_H-M_alt 'F m -3 m'
_space_group_IT_number 225
_space_group_name_Hall '-F 4 2 3'
loop_
_atom_site_label
_atom_site_type_symbol
_atom_site_fract_x
_atom_site_fract_y
_atom_site_fract_z
K1 K 0.250 0.250 0.250
Zr1 Zr 0.000 0.000 0.000
Ni1 Ni 0.000 0.000 0.500

*Q*
# K2ZrNi | Alexandria | PBE | relaxed
# - crystal system = monoclinic
# - calculated density (kg/m³) = 2503
# - D(E_F) (states/eV/atom) = 1.62
# - total magnetic moment (μB/cell) = 0.00
data_K2ZrNi
_chemical_formula_sum 'K4 Zr2 Ni2'
_cell_length_a 8.624
_cell_length_b 3.495
_cell_length_c 10.294
_cell_angle_alpha 90.00
_cell_angle_beta 102.72
_cell_angle_gamma 90.00
_space_group_name_H-M_alt 'C 1 m 1'
_space_group_IT_number 8
_space_group_name_Hall 'C -2y'
loop_
_atom_site_label
_atom_site_type_symbol
_atom_site_fract_x
_atom_site_fract_y
_atom_site_fract_z
K1 K 0.000 0.000 0.000
K2 K 0.150 0.000 0.576
Zr1 Zr 0.307 0.500 0.288
Ni1 Ni 0.011 0.500 0.288

*R*
# K2ZrNi | Alexandria | PBE | relaxed
# - crystal system = orthorhombic
# - calculated density (kg/m³) = 3498
# - D(E_F) (states/eV/atom) = 0.77
# - total magnetic moment (μB/cell) = 0.93
data_K2ZrNi
_chemical_formula_sum 'K4 Zr2 Ni2'
_cell_length_a 5.796
_cell_length_b 12.201
_cell_length_c 3.063
_cell_angle_alpha 90.00
_cell_angle_beta 90.00
_cell_angle_gamma 90.00
_space_group_name_H-M_alt 'C m m m'
_space_group_IT_number 65
_space_group_name_Hall '-C 2 2'
loop_
_atom_site_label
_atom_site_type_symbol
_atom_site_fract_x
_atom_site_fract_y
_atom_site_fract_z
K1 K 0.250 0.250 0.000
Zr1 Zr 0.000 0.000 0.500
Ni1 Ni 0.000 0.500 0.500

Each structure's energy above the most stable one, in meV/atom: *P* 1025; *Q* 0; *R* 561.

*P*
# K2ZrNi | Alexandria | PBE | relaxed
# - crystal system = monoclinic
# - calculated density (kg/m³) = 2848
# - D(E_F) (states/eV/atom) = 1.15
# - total magnetic moment (μB/cell) = 0.00
data_K2ZrNi
_chemical_formula_sum 'K2 Zr1 Ni1'
_cell_length_a 3.475
_cell_length_b 3.459
_cell_length_c 11.066
_cell_angle_alpha 90.00
_cell_angle_beta 91.23
_cell_angle_gamma 90.00
_space_group_name_H-M_alt 'P 1 m 1'
_space_group_IT_number 6
_space_group_name_Hall 'P -2y'
loop_
_atom_site_label
_atom_site_type_symbol
_atom_site_fract_x
_atom_site_fract_y
_atom_site_fract_z
K1 K 0.000 0.000 0.000
K2 K 0.460 0.500 0.392
Zr1 Zr 0.481 0.500 0.709
Ni1 Ni 0.975 0.000 0.621

*Q*
# K2ZrNi | Alexandria | PBE | relaxed
# - crystal system = orthorhombic
# - calculated density (kg/m³) = 2706
# - D(E_F) (states/eV/atom) = 1.29
# - total magnetic moment (μB/cell) = 0.01
data_K2ZrNi
_chemical_formula_sum 'K4 Zr2 Ni2'
_cell_length_a 3.356
_cell_length_b 6.406
_cell_length_c 13.025
_cell_angle_alpha 90.00
_cell_angle_beta 90.00
_cell_angle_gamma 90.00
_space_group_name_H-M_alt 'I m m 2'
_space_group_IT_number 44
_space_group_name_Hall 'I 2 -2'
loop_
_atom_site_label
_atom_site_type_symbol
_atom_site_fract_x
_atom_site_fract_y
_atom_site_fract_z
K1 K 0.000 0.000 0.000
K2 K 0.000 0.500 0.185
Zr1 Zr 0.000 0.000 0.357
Ni1 Ni 0.000 0.500 0.724

Each structure's energy above the most stable one, in meV/atom: *P* 0; *Q* 326.